The following is a DFT calculation (GGA-PBE) of a geometry-optimized RbHgGeF6 structure.

Properties
Uncorrected formation energy = -2.23 eV/atom
N(E_F) = 5.870 states/eV/cell
Uncorrected energy = -4.132 eV per atom

```
data_RbHgGeF6
_chemical_formula_sum 'Rb2 Hg2 Ge2 F12'
_space_group_name_H-M_alt 'P -3 1 c'
_space_group_IT_number 163
_space_group_name_Hall '-P 3 2c'
_cell_length_a 6.3253
_cell_length_b 6.3253
_cell_length_c 9.9206
_cell_angle_alpha 90.00
_cell_angle_beta 90.00
_cell_angle_gamma 120.00
loop_
_atom_site_label
_atom_site_type_symbol
_atom_site_fract_x
_atom_site_fract_y
_atom_site_fract_z
Rb1 Rb 0.0000 0.0000 0.0000
Hg1 Hg 0.3333 0.6667 0.2500
Ge1 Ge 0.3333 0.6667 0.7500
F1 F 0.0942 0.4285 0.6438
```

The following is a DFT calculation (GGA-PBE) of a geometry-optimized NaMnCr structure.

Properties
N(E_F) = 3.447 states/eV/cell
Uncorrected energy = -6.145 eV per atom

```
data_NaMnCr
_chemical_formula_sum 'Na2 Mn2 Cr2'
_space_group_name_H-M_alt 'P 1'
_space_group_IT_number 1
_space_group_name_Hall 'P 1'
_cell_length_a 2.839
_cell_length_b 4.986
_cell_length_c 8.192
_cell_angle_alpha 100.57
_cell_angle_beta 99.88
_cell_angle_gamma 106.53
loop_
_atom_site_label
_atom_site_type_symbol
_atom_site_fract_x
_atom_site_fract_y
_atom_site_fract_z
Na1 Na 0.000 0.000 0.000
Na2 Na 0.082 0.411 0.761
Mn1 Mn 0.667 0.985 0.352
Mn2 Mn 0.878 0.556 0.202
Cr1 Cr 0.195 0.850 0.545
Cr2 Cr 0.411 0.420 0.406
```

The following is a DFT calculation (GGA-PBE) of a geometry-optimized Pr6Pb2C structure.

Properties
N(E_F) = 17.165 states/eV/cell
Uncorrected energy = -5.380 eV per atom

```
data_Pr6Pb2C
_chemical_formula_sum 'Pr12 Pb4 C2'
_space_group_name_H-M_alt 'I 4/m m m'
_space_group_IT_number 139
_space_group_name_Hall '-I 4 2'
_cell_length_a 7.257
_cell_length_b 7.257
_cell_length_c 10.291
_cell_angle_alpha 90.00
_cell_angle_beta 90.00
_cell_angle_gamma 90.00
loop_
_atom_site_label
_atom_site_type_symbol
_atom_site_fract_x
_atom_site_fract_y
_atom_site_fract_z
Pr1 Pr 0.000 0.000 0.245
Pr2 Pr 0.246 0.246 0.000
Pb1 Pb 0.000 0.500 0.250
C1 C 0.000 0.000 0.000
```